(1)
Cr2FeO4 | GGA+U | optimized geometry Values from VASP.

Crystal system: orthorhombic
Magnetic moment: 10.01 μB/f.u.
Total energy: -211.2 eV per cell
ρ: 4.84 g/cm³

Cell and atoms, written as Quantum ESPRESSO input:
```
&SYSTEM
  ibrav = 0, nat = 28, ntyp = 3
/
ATOMIC_SPECIES
Cr 52.00 Cr.upf
Fe 55.84 Fe.upf
O 16.00 O.upf
ATOMIC_POSITIONS crystal
Cr 0.1006 0.2500 0.0844
Cr 0.1611 0.2500 0.7172
Cr 0.3389 0.7500 0.2172
Cr 0.3994 0.7500 0.5844
Cr 0.6006 0.2500 0.4156
Cr 0.6611 0.2500 0.7828
Cr 0.8389 0.7500 0.2828
Cr 0.8994 0.7500 0.9156
Fe 0.1198 0.2500 0.4349
Fe 0.3802 0.7500 0.9349
Fe 0.6198 0.2500 0.0651
Fe 0.8802 0.7500 0.5651
O 0.0323 0.2500 0.8864
O 0.0631 0.7500 0.6212
O 0.2148 0.2500 0.2639
O 0.2234 0.7500 0.0508
O 0.2766 0.2500 0.5508
O 0.2852 0.7500 0.7639
O 0.4369 0.2500 0.1212
O 0.4677 0.7500 0.3864
O 0.5323 0.2500 0.6136
O 0.5631 0.7500 0.8788
O 0.7148 0.2500 0.2361
O 0.7234 0.7500 0.4492
O 0.7766 0.2500 0.9492
O 0.7852 0.7500 0.7361
O 0.9369 0.2500 0.3788
O 0.9677 0.7500 0.1136
CELL_PARAMETERS angstrom
10.1814 0.0000 0.0000
0.0000 3.0394 0.0000
0.0000 0.0000 9.9189
```

(2)
CrFeO3 | GGA+U | optimized geometry Values from VASP.

Crystal system: monoclinic
Magnetic moment: 8.00 μB/f.u.
Total energy: -71.8 eV per cell
ρ: 4.57 g/cm³

Cell and atoms, written as Quantum ESPRESSO input:
```
&SYSTEM
  ibrav = 0, nat = 10, ntyp = 3
/
ATOMIC_SPECIES
Cr 52.00 Cr.upf
Fe 55.84 Fe.upf
O 16.00 O.upf
ATOMIC_POSITIONS crystal
Cr 0.1481 0.2500 0.1548
Cr 0.8519 0.7500 0.8452
Fe 0.2709 0.2500 0.5530
Fe 0.7291 0.7500 0.4470
O 0.0653 0.7500 0.3564
O 0.2049 0.7500 0.0013
O 0.4920 0.7500 0.6562
O 0.5080 0.2500 0.3438
O 0.7951 0.2500 0.9987
O 0.9347 0.2500 0.6436
CELL_PARAMETERS angstrom
5.1762 0.0000 0.0000
0.0000 3.0303 0.0000
-1.3962 0.0000 7.2177
```

(3)
CrFeO2 | GGA+U | optimized geometry Values from VASP.

Crystal system: cubic
Magnetic moment: 4.50 μB/f.u.
Total energy: -97.8 eV per cell
ρ: 6.40 g/cm³

Cell and atoms, written as Quantum ESPRESSO input:
```
&SYSTEM
  ibrav = 0, nat = 16, ntyp = 3
/
ATOMIC_SPECIES
Cr 52.00 Cr.upf
Fe 55.84 Fe.upf
O 16.00 O.upf
ATOMIC_POSITIONS crystal
Cr 0.0000 0.0000 0.0000
Cr 0.0000 0.5000 0.5000
Cr 0.5000 0.0000 0.5000
Cr 0.5000 0.5000 0.0000
Fe 0.0000 0.0000 0.5000
Fe 0.0000 0.5000 0.0000
Fe 0.5000 0.0000 0.0000
Fe 0.5000 0.5000 0.5000
O 0.2500 0.2500 0.2500
O 0.2500 0.2500 0.7500
O 0.2500 0.7500 0.2500
O 0.2500 0.7500 0.7500
O 0.7500 0.2500 0.2500
O 0.7500 0.2500 0.7500
O 0.7500 0.7500 0.2500
O 0.7500 0.7500 0.7500
CELL_PARAMETERS angstrom
5.2555 0.0000 0.0000
0.0000 5.2555 0.0000
0.0000 0.0000 5.2555
```